A relaxed structure of TaMoAs3, computed with PBE.

**Symmetry**: Pm-3m (221)
**Spin magnetization**: 0.71 μB/atom
**Formation energy**: 0.9114 eV per atom
**E above lowest polymorph**: 0.000 eV per atom

CIF file:
```
data_TaMoAs3
_chemical_formula_sum 'Ta1 Mo1 As3'
_space_group_name_H-M_alt 'P 1'
_space_group_IT_number 1
_cell_length_a 4.967
_cell_length_b 4.967
_cell_length_c 4.967
_cell_angle_alpha 90.00
_cell_angle_beta 90.00
_cell_angle_gamma 90.00
loop_
_space_group_symop_operation_xyz
'x,y,z'
loop_
_atom_site_label
_atom_site_type_symbol
_atom_site_fract_x
_atom_site_fract_y
_atom_site_fract_z
Mo1 Mo 0.500 0.500 0.500
As1 As 0.000 0.000 0.500
As2 As 0.000 0.500 0.000
As3 As 0.500 0.000 0.000
Ta1 Ta 0.000 0.000 0.000
```